ErNi2PbO6 PBE+U optimized geometry; density of states at the Fermi level = 0.00 states/eV/f.u.; SG = No. 1; raw total energy = -5.83 eV per atom; total moment = 3.0 μB per formula unit
1.0
5.239 0.000 0.000
-0.027 5.365 0.000
-2.454 -2.685 4.113
Er Ni Pb O
1 2 1 6
Cartesian
0.000 0.000 0.000
0.218 2.812 2.115
2.833 0.111 2.046
2.915 2.623 0.061
0.855 3.109 0.077
2.125 0.428 0.009
1.537 1.375 2.710
1.675 -1.225 2.697
4.012 4.112 1.463
4.151 1.416 1.492